1.
{"formula": "La5Ta4", "functional": "PBE", "state": "optimized geometry", "mass_density_g_cm3": 9.8, "formation_energy_ev_per_atom": 0.3893, "lattice": [[-5.917, 5.917, 1.721], [5.917, -5.917, 1.721], [5.917, 5.917, -1.721]], "species": ["La", "La", "La", "La", "La", "Ta", "Ta", "Ta", "Ta"], "fractional_positions": [[0.000, 0.000, 0.000], [0.329, 0.329, 0.658], [0.329, 0.671, 0.000], [0.671, 0.329, 0.000], [0.671, 0.671, 0.342], [0.000, 0.371, 0.371], [0.000, 0.629, 0.629], [0.371, 0.000, 0.371], [0.629, 0.000, 0.629]]}

=====

2.
{"formula": "InTc", "functional": "PBE", "state": "optimized geometry", "mass_density_g_cm3": 9.6, "formation_energy_ev_per_atom": 0.2219, "lattice": [[2.573, -1.497, 0.000], [2.573, 1.497, 0.000], [-0.122, 0.000, 9.594]], "species": ["In", "In", "Tc", "Tc"], "fractional_positions": [[0.004, 0.004, 0.348], [0.996, 0.996, 0.652], [0.335, 0.335, 0.102], [0.665, 0.665, 0.898]]}

=====

3.
{"formula": "Ca2NiHgC", "functional": "PBE", "state": "optimized geometry", "mass_density_g_cm3": 5.9, "formation_energy_ev_per_atom": -0.2217, "lattice": [[5.220, 0.000, 0.000], [0.000, 5.220, 0.000], [0.000, 0.000, 3.657]], "species": ["Ca", "Ca", "Ni", "Hg", "C"], "fractional_positions": [[0.000, 0.500, 0.000], [0.500, 0.000, 0.000], [0.000, 0.000, 0.500], [0.500, 0.500, 0.500], [0.000, 0.000, 0.000]]}

=====

4.
{"formula": "MgTa2P", "functional": "PBE", "state": "optimized geometry", "mass_density_g_cm3": 10.3, "e_above_lowest_polymorph_kj_per_mol_atoms": 25.5, "formation_energy_ev_per_atom": 0.1661, "lattice": [[2.839, -4.283, 0.000], [2.839, 4.283, 0.000], [-0.877, 0.000, 2.756]], "species": ["Mg", "Ta", "Ta", "P"], "fractional_positions": [[0.000, 0.000, 0.000], [0.000, 0.500, 0.500], [0.500, 0.000, 0.500], [0.500, 0.500, 0.000]]}

=====

5.
{"formula": "AcEuPb", "functional": "PBE", "state": "optimized geometry", "mass_density_g_cm3": 8.7, "e_above_lowest_polymorph_kj_per_mol_atoms": 4.6, "formation_energy_ev_per_atom": -0.2879, "lattice": [[5.588, 0.000, 0.000], [-2.794, 4.840, 0.000], [0.000, 0.000, 4.117]], "species": ["Ac", "Eu", "Pb"], "fractional_positions": [[0.000, 0.000, 0.000], [0.667, 0.333, 0.456], [0.333, 0.667, 0.637]]}

=====

6.
{"formula": "Al2O3", "functional": "PBE", "state": "optimized geometry", "mass_density_g_cm3": 3.2, "formation_energy_uncorrected_ev_per_atom": -2.80, "lattice": [[2.883, 0.000, 0.000], [-1.441, 2.496, 0.000], [0.000, 0.000, 7.266]], "species": ["Al", "Al", "O", "O", "O"], "fractional_positions": [[0.000, 0.000, 0.192], [0.000, 0.000, 0.808], [0.333, 0.667, 0.284], [0.333, 0.667, 0.716], [0.667, 0.333, 0.000]]}

=====

7.
{"formula": "Ba2MgSbPt", "functional": "PBE", "state": "optimized geometry", "mass_density_g_cm3": 4.6, "formation_energy_uncorrected_ev_per_atom": -0.03, "lattice": [[6.553, 0.000, 0.000], [0.000, 6.553, 0.000], [0.000, 0.000, 5.194]], "species": ["Ba", "Ba", "Mg", "Sb", "Pt"], "fractional_positions": [[0.000, 0.500, 0.000], [0.500, 0.000, 0.000], [0.000, 0.000, 0.500], [0.000, 0.000, 0.000], [0.500, 0.500, 0.500]]}

=====

8.
{"formula": "La10Y4Ho", "functional": "PBE", "state": "optimized geometry", "mass_density_g_cm3": 5.1, "formation_energy_ev_per_atom": 0.6589, "lattice": [[-6.257, 6.257, 3.990], [6.257, -6.257, 3.990], [6.257, 6.257, -3.990]], "species": ["La", "La", "La", "La", "La", "La", "La", "La", "La", "La", "Y", "Y", "Y", "Y", "Ho"], "fractional_positions": [[0.049, 0.347, 0.900], [0.149, 0.049, 0.702], [0.250, 0.750, 0.500], [0.347, 0.447, 0.298], [0.447, 0.149, 0.100], [0.553, 0.851, 0.900], [0.653, 0.553, 0.702], [0.750, 0.250, 0.500], [0.851, 0.951, 0.298], [0.951, 0.653, 0.100], [0.201, 0.400, 0.600], [0.400, 0.799, 0.199], [0.600, 0.201, 0.801], [0.799, 0.600, 0.400], [0.000, 0.000, 0.000]]}

=====

9.
{"formula": "Cs3Sn2Bi3", "functional": "PBE", "state": "optimized geometry", "mass_density_g_cm3": 5.8, "e_above_lowest_polymorph_kj_per_mol_atoms": 2.3, "formation_energy_ev_per_atom": -0.2457, "lattice": [[2.238, -7.307, 0.000], [2.238, 7.307, 0.000], [0.000, 0.000, 22.210]], "species": ["Cs", "Cs", "Cs", "Cs", "Cs", "Cs", "Sn", "Sn", "Sn", "Sn", "Bi", "Bi", "Bi", "Bi", "Bi", "Bi"], "fractional_positions": [[0.102, 0.898, 0.750], [0.130, 0.870, 0.551], [0.130, 0.870, 0.949], [0.870, 0.130, 0.051], [0.870, 0.130, 0.449], [0.898, 0.102, 0.250], [0.201, 0.799, 0.155], [0.201, 0.799, 0.345], [0.799, 0.201, 0.655], [0.799, 0.201, 0.845], [0.384, 0.616, 0.750], [0.412, 0.588, 0.599], [0.412, 0.588, 0.901], [0.588, 0.412, 0.099], [0.588, 0.412, 0.401], [0.616, 0.384, 0.250]]}

=====

10.
{"formula": "MnRe2Mo", "functional": "PBE", "state": "optimized geometry", "mass_density_g_cm3": 14.8, "e_above_lowest_polymorph_kj_per_mol_atoms": 1.1, "formation_energy_ev_per_atom": 0.1000, "lattice": [[0.000, 3.086, 3.086], [3.086, 0.000, 3.086], [3.086, 3.086, 0.000]], "species": ["Mn", "Re", "Re", "Mo"], "fractional_positions": [[0.000, 0.000, 0.000], [0.250, 0.250, 0.250], [0.500, 0.500, 0.500], [0.750, 0.750, 0.750]]}

=====

11.
{"formula": "FeNiPd6", "functional": "PBE", "state": "optimized geometry", "mass_density_g_cm3": 10.7, "e_above_lowest_polymorph_kj_per_mol_atoms": 0.0, "formation_energy_ev_per_atom": -0.0324, "lattice": [[5.505, 0.000, 0.000], [0.000, 5.505, 0.000], [0.000, 0.000, 3.863]], "species": ["Fe", "Ni", "Pd", "Pd", "Pd", "Pd", "Pd", "Pd"], "fractional_positions": [[0.000, 0.000, 0.000], [0.500, 0.500, 0.000], [0.000, 0.500, 0.000], [0.250, 0.250, 0.500], [0.250, 0.750, 0.500], [0.500, 0.000, 0.000], [0.750, 0.250, 0.500], [0.750, 0.750, 0.500]]}

=====

12.
{"formula": "BaAg4Br8", "functional": "PBE", "state": "optimized geometry", "mass_density_g_cm3": 4.5, "formation_energy_uncorrected_ev_per_atom": -0.65, "lattice": [[4.106, 2.371, 7.660], [-4.106, 2.371, 7.660], [0.000, -4.741, 7.660]], "species": ["Ba", "Ag", "Ag", "Ag", "Ag", "Br", "Br", "Br", "Br", "Br", "Br", "Br", "Br"], "fractional_positions": [[0.000, 0.000, 0.000], [0.000, 0.000, 0.500], [0.000, 0.500, 0.000], [0.500, 0.000, 0.000], [0.500, 0.500, 0.500], [0.225, 0.225, 0.225], [0.242, 0.735, 0.735], [0.265, 0.265, 0.758], [0.265, 0.758, 0.265], [0.735, 0.242, 0.735], [0.735, 0.735, 0.242], [0.758, 0.265, 0.265], [0.775, 0.775, 0.775]]}

=====

13.
{"formula": "Hf2AlFeSb", "functional": "PBE", "state": "optimized geometry", "mass_density_g_cm3": 7.3, "formation_energy_uncorrected_ev_per_atom": 1.00, "lattice": [[5.254, 0.000, 0.000], [0.000, 5.254, 0.000], [0.000, 0.000, 4.616]], "species": ["Hf", "Hf", "Al", "Fe", "Sb"], "fractional_positions": [[0.000, 0.500, 0.000], [0.500, 0.000, 0.000], [0.000, 0.000, 0.500], [0.500, 0.500, 0.500], [0.500, 0.500, 0.000]]}

=====

14.
{"formula": "SrHgF4", "functional": "PBE", "state": "optimized geometry", "mass_density_g_cm3": 6.3, "formation_energy_uncorrected_ev_per_atom": -2.68, "lattice": [[2.883, -2.883, 0.000], [2.883, 2.883, 0.000], [-0.009, 0.000, 5.738]], "species": ["Sr", "Hg", "F", "F", "F", "F"], "fractional_positions": [[0.000, 0.000, 0.000], [0.500, 0.500, 0.500], [0.000, 0.500, 0.256], [0.000, 0.500, 0.744], [0.500, 0.000, 0.256], [0.500, 0.000, 0.744]]}

=====

15.
{"formula": "Dy5ErTm3", "functional": "PBE", "state": "optimized geometry", "mass_density_g_cm3": 7.8, "e_above_lowest_polymorph_kj_per_mol_atoms": 0.0, "formation_energy_ev_per_atom": 0.5228, "lattice": [[7.485, -5.668, 0.000], [7.485, 5.668, 0.000], [-6.282, 0.000, 7.498]], "species": ["Dy", "Dy", "Dy", "Dy", "Dy", "Dy", "Dy", "Dy", "Dy", "Dy", "Er", "Er", "Tm", "Tm", "Tm", "Tm", "Tm", "Tm"], "fractional_positions": [[0.100, 0.604, 0.253], [0.224, 0.224, 0.236], [0.242, 0.758, 0.000], [0.278, 0.278, 0.962], [0.396, 0.900, 0.747], [0.604, 0.100, 0.253], [0.722, 0.722, 0.038], [0.758, 0.242, 0.000], [0.776, 0.776, 0.764], [0.900, 0.396, 0.747], [0.247, 0.247, 0.599], [0.753, 0.753, 0.401], [0.000, 0.000, 0.500], [0.011, 0.011, 0.820], [0.480, 0.480, 0.640], [0.500, 0.500, 0.000], [0.520, 0.520, 0.360], [0.989, 0.989, 0.180]]}

=====

16.
{"formula": "SiMo2Rh", "functional": "PBE", "state": "optimized geometry", "mass_density_g_cm3": 9.1, "formation_energy_uncorrected_ev_per_atom": -0.03, "lattice": [[1.394, 0.805, 8.758], [-1.394, 0.805, 8.758], [0.000, -1.610, 8.758]], "species": ["Si", "Mo", "Mo", "Rh"], "fractional_positions": [[0.000, 0.000, 0.000], [0.252, 0.252, 0.252], [0.748, 0.748, 0.748], [0.500, 0.500, 0.500]]}

=====

17.
{"formula": "MnTeSe2", "functional": "PBE", "state": "optimized geometry", "mass_density_g_cm3": 5.6, "formation_energy_uncorrected_ev_per_atom": 0.20, "lattice": [[-3.275, 3.275, 4.681], [3.275, -3.275, 4.681], [3.275, 3.275, -4.681]], "species": ["Mn", "Mn", "Te", "Te", "Se", "Se", "Se", "Se"], "fractional_positions": [[0.000, 0.000, 0.000], [0.750, 0.250, 0.500], [0.250, 0.750, 0.500], [0.500, 0.500, 0.000], [0.031, 0.625, 0.906], [0.375, 0.281, 0.406], [0.719, 0.125, 0.094], [0.875, 0.969, 0.594]]}

=====

18.
{"formula": "Tl3CdGa3I8", "functional": "PBE", "state": "optimized geometry", "mass_density_g_cm3": 5.1, "formation_energy_uncorrected_ev_per_atom": -0.51, "lattice": [[8.227, -4.751, 0.000], [8.227, 4.751, 0.000], [-5.490, 0.000, 8.111]], "species": ["Tl", "Tl", "Tl", "Cd", "Ga", "Ga", "Ga", "I", "I", "I", "I", "I", "I", "I", "I"], "fractional_positions": [[0.000, 0.000, 0.000], [0.000, 0.500, 0.000], [0.500, 0.000, 0.000], [0.000, 0.000, 0.500], [0.000, 0.500, 0.500], [0.500, 0.000, 0.500], [0.500, 0.500, 0.500], [0.225, 0.225, 0.713], [0.225, 0.763, 0.713], [0.237, 0.775, 0.287], [0.257, 0.257, 0.270], [0.743, 0.743, 0.730], [0.763, 0.225, 0.713], [0.775, 0.237, 0.287], [0.775, 0.775, 0.287]]}

=====

19.
{"formula": "Sr2MgTaTe", "functional": "PBE", "state": "optimized geometry", "mass_density_g_cm3": 4.2, "formation_energy_uncorrected_ev_per_atom": 1.01, "lattice": [[6.222, 0.000, 0.000], [0.000, 6.222, 0.000], [0.000, 0.000, 5.219]], "species": ["Sr", "Sr", "Mg", "Ta", "Te"], "fractional_positions": [[0.000, 0.500, 0.000], [0.500, 0.000, 0.000], [0.000, 0.000, 0.000], [0.500, 0.500, 0.500], [0.000, 0.000, 0.500]]}

=====

20.
{"formula": "IrOs3Cl", "functional": "PBE", "state": "optimized geometry", "mass_density_g_cm3": 11.9, "e_above_lowest_polymorph_kj_per_mol_atoms": 51.7, "formation_energy_uncorrected_ev_per_atom": 2.55, "lattice": [[4.812, 0.000, 0.000], [0.000, 4.812, 0.000], [0.000, 0.000, 4.812]], "species": ["Ir", "Os", "Os", "Os", "Cl"], "fractional_positions": [[0.000, 0.000, 0.000], [0.000, 0.000, 0.500], [0.000, 0.500, 0.000], [0.500, 0.000, 0.000], [0.500, 0.500, 0.500]]}

=====

In the order shown, the computed density of states at the Fermi level values come out to 16.00; 1.48; 2.37; 2.26; 2.52; 0.00; 3.83; 28.85; 3.20; 3.41; 11.42; 24.74; 6.32; 0.00; 12.09; 4.17; 5.02; 0.00; 3.42; 6.18 states/eV/f.u..